First-principles (PBE-GGA) data for crystalline CsKNp2Cl8 at its relaxed geometry, as listed in Alexandria.

The structure in POSCAR format:
```
CsKNp2Cl8
1.0
7.6640 0.0000 0.0000
-3.8320 6.6372 0.0000
0.0000 0.0000 8.7007
Cs K Np Cl
1 1 2 8
Direct
0.0000 0.0000 0.0000 Cs
0.0000 0.0000 0.5000 K
0.3333 0.6667 0.4242 Np
0.6667 0.3333 0.5758 Np
0.0517 0.3816 0.6416 Cl
0.3299 0.9483 0.6416 Cl
0.3333 0.6667 0.1226 Cl
0.3816 0.3299 0.3584 Cl
0.6184 0.6701 0.6416 Cl
0.6667 0.3333 0.8774 Cl
0.6701 0.0517 0.3584 Cl
0.9483 0.6184 0.3584 Cl
```

Summary:
The size of the total moment is 8.00 μB per cell. The density of states at the Fermi level is 5.66 states/eV/cell. As for the total DFT energy (no corrections): -0.1953 Ha/atom.